VASP calculation (PBE-GGA) on a relaxed structure of TbCeVN3.

Computed properties:
Formation energy (no corrections) = -1.2371 eV per atom
Raw total energy = -104.16 eV per cell
Mass density = 6.928 g/cm³

Structure (POSCAR):
```
TbCeVN3
1.0
-0.966 -3.282 -0.331
7.007 -1.976 -0.862
-0.343 -0.655 7.491
N Ce Tb V
6 2 2 2
Direct
0.750 0.167 0.516
0.250 0.833 0.484
0.750 0.881 0.151
0.250 0.119 0.849
0.250 0.610 0.857
0.750 0.390 0.143
0.250 0.170 0.171
0.750 0.830 0.829
0.750 0.366 0.830
0.250 0.634 0.170
0.250 0.090 0.598
0.750 0.910 0.402
```